Entry 1:
Density functional theory data (GGA-PBE) for Hf2CuC after structural relaxation.

Output
**V**: 15.06 Å³/atom
**Electronic total energy**: -0.3231 hartree per atom
**Energy of formation**: -485.1 meV per atom
**Magnetic moment**: 0.0 μB per formula unit

```
Hf2CuC
1.0
3.4399 0.0000 0.0000
0.0000 3.3350 -0.5923
0.0000 0.1405 10.4761
C Hf Cu
2 4 2
direct
0.7500 0.8053 0.6106
0.2500 0.1947 0.3894
0.2500 0.3028 0.6057
0.2500 0.0888 0.1776
0.7500 0.6972 0.3943
0.7500 0.9112 0.8224
0.2500 0.4604 0.9208
0.7500 0.5396 0.0792
```


Entry 2:
Density functional theory data (GGA-PBE) for HfCuC3 after structural relaxation.

Output
**V**: 15.67 Å³/atom
**Electronic total energy**: -0.2220 hartree per atom
**Energy of formation**: 2302.3 meV per atom
**Energy above the lowest structure with this stoichiometry**: 0.497 eV/atom
**Magnetic moment**: 0.0 μB per formula unit

```
HfCuC3
1.0
-1.1081 0.7450 -4.0654
3.3991 -2.2302 -1.3352
-2.3513 -3.5751 -0.0142
C Hf Cu
3 1 1
direct
0.0000 0.5000 0.0000
0.5000 0.0000 0.0000
0.0000 0.0000 0.5000
0.0000 0.0000 0.0000
0.5000 0.5000 0.5000
```


Entry 3:
Density functional theory data (GGA-PBE) for HfCu3C after structural relaxation.

Output
**V**: 12.63 Å³/atom
**Electronic total energy**: -0.2141 hartree per atom
**Energy of formation**: 467.6 meV per atom
**Energy above the lowest structure with this stoichiometry**: 0.000 eV/atom
**Magnetic moment**: 0.0 μB per formula unit

```
HfCu3C
1.0
-3.0562 -2.3252 -1.0535
2.4886 -2.3482 -2.0370
0.5682 -2.2217 3.2554
Cu Hf C
3 1 1
direct
0.5000 0.0000 0.0000
0.0000 0.5000 0.0000
0.0000 0.0000 0.5000
0.5000 0.5000 0.5000
0.0000 0.0000 0.0000
```


Entry 4:
Density functional theory data (GGA-PBE) for Hf6CuC3 after structural relaxation.

Output
**V**: 15.88 Å³/atom
**Electronic total energy**: -0.3562 hartree per atom
**Energy of formation**: -542.8 meV per atom
**Magnetic moment**: 0.0 μB per formula unit

```
Hf6CuC3
1.0
-0.7195 3.1066 -0.9532
-1.1552 -3.3170 -9.9384
-8.2933 -0.1618 5.7329
C Hf Cu
6 12 2
direct
0.2500 0.5482 0.1576
0.7500 0.4518 0.8424
0.2500 0.8412 0.9047
0.2500 0.2728 0.5192
0.7500 0.7272 0.4808
0.7500 0.1588 0.0953
0.2500 0.2331 0.2670
0.7500 0.3867 0.0566
0.7500 0.1098 0.4547
0.7500 0.4325 0.5990
0.2500 0.0708 0.9244
0.2500 0.8902 0.5453
0.2500 0.5675 0.4010
0.7500 0.9292 0.0756
0.2500 0.6133 0.9434
0.7500 0.7669 0.7330
0.7500 0.7127 0.2506
0.2500 0.2873 0.7494
0.2500 0.9182 0.2733
0.7500 0.0818 0.7267
```


Entry 5:
Density functional theory data (GGA-PBE) for Hf4CuC2 after structural relaxation.

Output
**V**: 15.50 Å³/atom
**Electronic total energy**: -0.3499 hartree per atom
**Energy of formation**: -613.7 meV per atom
**Magnetic moment**: 0.0 μB per formula unit

```
Hf4CuC2
1.0
-2.7117 0.8795 1.7456
2.5246 -4.3254 2.9006
6.3888 7.7620 6.0141
Hf C Cu
8 4 2
direct
0.5000 0.0000 0.5000
0.2357 0.4715 0.6092
0.5000 0.0000 0.0000
0.0680 0.1360 0.2500
0.2357 0.4715 0.8908
0.7643 0.5285 0.1092
0.9320 0.8640 0.7500
0.7643 0.5285 0.3908
0.8641 0.7281 0.9404
0.1359 0.2719 0.0596
0.8641 0.7281 0.5596
0.1359 0.2719 0.4404
0.3867 0.7733 0.2500
0.6133 0.2267 0.7500
```


Entry 6:
Density functional theory data (GGA-PBE) for HfCuC3 after structural relaxation.

Output
**V**: 10.87 Å³/atom
**Electronic total energy**: -0.2403 hartree per atom
**Energy of formation**: 1804.8 meV per atom
**Energy above the lowest structure with this stoichiometry**: 0.000 eV/atom
**Magnetic moment**: 0.0 μB per formula unit

```
HfCuC3
1.0
-2.6708 -2.2257 -1.5027
2.6845 -2.1550 -1.5794
0.0731 -2.1788 3.0972
C Hf Cu
3 1 1
direct
0.0000 0.0000 0.5000
0.5000 0.0000 0.0000
0.0000 0.5000 0.0000
0.5000 0.5000 0.5000
0.0000 0.0000 0.0000
```


Entry 7:
Density functional theory data (GGA-PBE) for Hf3Cu3C after structural relaxation.

Output
**V**: 14.95 Å³/atom
**Electronic total energy**: -0.2842 hartree per atom
**Energy of formation**: -395.7 meV per atom
**Magnetic moment**: 0.0 μB per formula unit

```
Hf3Cu3C
1.0
-0.5789 -7.8476 -2.9317
6.9654 -4.4108 -1.5947
2.0820 -6.4825 4.9150
Hf Cu C
12 12 4
direct
0.4441 0.4441 0.0559
0.8059 0.8059 0.1941
0.1941 0.1941 0.8059
0.8059 0.1941 0.8059
0.0559 0.4441 0.4441
0.4441 0.0559 0.4441
0.1941 0.8059 0.1941
0.8059 0.1941 0.1941
0.0559 0.4441 0.0559
0.0559 0.0559 0.4441
0.1941 0.8059 0.8059
0.4441 0.0559 0.0559
0.4188 0.4188 0.4188
0.4188 0.7437 0.4188
0.5063 0.8312 0.8312
0.7437 0.4188 0.4188
0.8312 0.8312 0.8312
0.4188 0.4188 0.7437
0.6250 0.6250 0.6250
0.6250 0.6250 0.1250
0.8312 0.5063 0.8312
0.6250 0.1250 0.6250
0.1250 0.6250 0.6250
0.8312 0.8312 0.5063
0.1250 0.6250 0.1250
0.1250 0.1250 0.1250
0.1250 0.1250 0.6250
0.6250 0.1250 0.1250
```


Entry 8:
Density functional theory data (GGA-PBE) for Hf2CuC after structural relaxation.

Output
**V**: 16.38 Å³/atom
**Electronic total energy**: -0.3146 hartree per atom
**Energy of formation**: -254.2 meV per atom
**Magnetic moment**: 0.0 μB per formula unit

```
Hf2CuC
1.0
3.5569 -0.0004 0.0059
0.0006 6.3755 1.1494
-1.7682 -2.0225 5.4099
Hf Cu C
4 2 2
direct
0.6009 0.0855 0.7764
0.3258 0.0420 0.2309
0.3352 0.5176 0.2400
0.0599 0.4741 0.6945
0.9431 0.8177 0.4627
0.7178 0.7417 0.0082
0.4717 0.3146 0.5163
0.1890 0.2450 0.9547
```


Entry 9:
Density functional theory data (GGA-PBE) for HfCuCI2 after structural relaxation.

Output
**V**: 32.19 Å³/atom
**Electronic total energy**: -0.1364 hartree per atom
**Formation energy from raw total energies**: 1.56 eV per atom
**Magnetic moment**: 2.3 μB per formula unit

```
HfCuCI2
1.0
-3.5705 3.8718 1.9248
-2.9680 -3.6963 1.9298
2.8500 0.2301 4.8238
I Cu Hf C
2 1 1 1
direct
0.5000 0.0000 0.0000
0.0000 0.0000 0.5000
0.0000 0.5000 0.0000
0.0000 0.0000 0.0000
0.5000 0.5000 0.5000
```


Entry 10:
Density functional theory data (GGA-PBE) for HfCuIrC2 after structural relaxation.

Output
**V**: 16.58 Å³/atom
**Electronic total energy**: -0.2561 hartree per atom
**Energy of formation**: 1303.9 meV per atom
**Magnetic moment**: 0.0 μB per formula unit

```
HfCuIrC2
1.0
3.8825 0.0000 0.0000
0.0000 5.5008 0.0000
0.0000 0.0000 3.8825
Ir C Cu Hf
1 2 1 1
direct
0.0000 0.0000 0.0000
0.5000 0.0000 0.0000
0.0000 0.0000 0.5000
0.5000 0.5000 0.5000
0.0000 0.5000 0.0000
```


Entry 11:
Density functional theory data (GGA-PBE) for LaHfCuC2 after structural relaxation.

Output
**V**: 16.38 Å³/atom
**Electronic total energy**: -0.2135 hartree per atom
**Energy of formation**: 1674.4 meV per atom
**Magnetic moment**: 0.0 μB per formula unit

```
LaHfCuC2
1.0
4.1915 0.0000 0.0000
0.0000 4.6613 0.0000
0.0000 0.0000 4.1915
La Hf Cu C
1 1 1 2
direct
0.5000 0.5000 0.5000
0.0000 0.5000 0.0000
0.0000 0.0000 0.0000
0.0000 0.0000 0.5000
0.5000 0.0000 0.0000
```


Entry 12:
Density functional theory data (GGA-PBE) for HfCuMo2C after structural relaxation.

Output
**V**: 14.20 Å³/atom
**Electronic total energy**: -0.3283 hartree per atom
**Energy of formation**: 52.4 meV per atom
**Magnetic moment**: 0.0 μB per formula unit

```
HfCuMo2C
1.0
4.2826 0.0000 0.0000
0.0000 3.8720 0.0000
0.0000 0.0000 4.2826
Mo C Cu Hf
2 1 1 1
direct
0.0000 0.0000 0.5000
0.5000 0.0000 0.0000
0.0000 0.0000 0.0000
0.0000 0.5000 0.0000
0.5000 0.5000 0.5000
```